Computed, not measured: a crystal of La14Sb8CO7 relaxed with PBEsol at the SCAN level of DFT.

Cell and atoms, written as POSCAR:
```
La14Sb8CO7
1.0
-4.057 4.441 -7.197
3.952 -9.472 -8.073
-11.090 -6.524 2.226
Sb La O C
16 28 14 2
direct
0.045 0.001 0.250
0.659 0.760 0.260
0.045 0.501 0.250
0.659 0.740 0.760
0.652 0.500 0.500
0.652 0.000 0.000
0.045 0.750 0.501
0.045 0.250 0.999
0.045 0.250 0.499
0.045 0.499 0.750
0.645 0.000 0.500
0.045 0.999 0.750
0.659 0.260 0.240
0.659 0.240 0.740
0.645 0.500 0.000
0.045 0.750 0.001
0.353 0.115 0.846
0.353 0.615 0.654
0.016 0.249 0.749
0.016 0.251 0.249
0.686 0.749 0.510
0.353 0.654 0.385
0.016 0.751 0.251
0.353 0.846 0.885
0.030 0.500 0.500
0.353 0.885 0.154
0.005 0.000 0.500
0.353 0.346 0.615
0.686 0.251 0.490
0.344 0.610 0.110
0.030 0.000 0.000
0.016 0.749 0.751
0.353 0.385 0.346
0.686 0.510 0.251
0.686 0.751 0.010
0.686 0.249 0.990
0.005 0.500 0.000
0.686 0.010 0.249
0.344 0.890 0.610
0.686 0.490 0.749
0.344 0.110 0.390
0.344 0.390 0.890
0.353 0.154 0.115
0.686 0.990 0.751
0.442 0.971 0.759
0.442 0.741 0.529
0.442 0.259 0.471
0.442 0.029 0.241
0.442 0.529 0.259
0.442 0.471 0.741
0.442 0.241 0.971
0.257 0.764 0.736
0.241 0.000 0.500
0.257 0.736 0.236
0.241 0.500 0.000
0.257 0.264 0.764
0.257 0.236 0.264
0.442 0.759 0.029
0.282 0.000 0.000
0.282 0.500 0.500
```

Calculated values
- E_tot: -34.111 eV per atom
- Symmetry: P4bm (100)